# 1
# SrYCu2 | the Alexandria database | PBE-GGA | optimized geometry
data_SrYCu2
_space_group_name_H-M_alt 'I m m 2'
_space_group_IT_number 44
_space_group_name_Hall 'I 2 -2'
_cell_length_a 3.997
_cell_length_b 4.078
_cell_length_c 13.416
_cell_angle_alpha 90.00
_cell_angle_beta 90.00
_cell_angle_gamma 90.00
loop_
_atom_site_label
_atom_site_type_symbol
_atom_site_fract_x
_atom_site_fract_y
_atom_site_fract_z
_atom_site_occupancy
Sr1 Sr 0.000 0.000 0.000 1
Y1 Y 0.000 0.500 0.754 1
Cu1 Cu 0.000 0.000 0.598 1
Cu2 Cu 0.000 0.500 0.203 1
# Polymorph energy (0 for the lowest one) (meV/atom): 143
# Total magnetic moment (μB per atom): 0.00
# Density (Mg/m³): 4.611
# Formation energy (eV per atom): 0.0276
# Total DFT energy (no corrections) (eV per atom): -4.0570


# 2
# Sr2YCu | the Alexandria database | PBE-GGA | optimized geometry
data_Sr2YCu
_space_group_name_H-M_alt 'I 4/m m m'
_space_group_IT_number 139
_space_group_name_Hall '-I 4 2'
_cell_length_a 4.892
_cell_length_b 4.892
_cell_length_c 11.118
_cell_angle_alpha 90.00
_cell_angle_beta 90.00
_cell_angle_gamma 90.00
loop_
_atom_site_label
_atom_site_type_symbol
_atom_site_fract_x
_atom_site_fract_y
_atom_site_fract_z
_atom_site_occupancy
Sr1 Sr 0.000 0.500 0.250 1
Y1 Y 0.000 0.000 0.000 1
Cu1 Cu 0.000 0.000 0.500 1
# Polymorph energy (0 for the lowest one) (meV/atom): 373
# Total magnetic moment (μB per atom): 0.00
# Density (Mg/m³): 4.090
# Formation energy (eV per atom): 0.3850
# Total DFT energy (no corrections) (eV per atom): -3.0960


# 3
# SrYCu2 | the Alexandria database | PBE-GGA | optimized geometry
data_SrYCu2
_space_group_name_H-M_alt 'P 4 m m'
_space_group_IT_number 99
_space_group_name_Hall 'P 4 -2'
_cell_length_a 3.515
_cell_length_b 3.515
_cell_length_c 7.926
_cell_angle_alpha 90.00
_cell_angle_beta 90.00
_cell_angle_gamma 90.00
loop_
_atom_site_label
_atom_site_type_symbol
_atom_site_fract_x
_atom_site_fract_y
_atom_site_fract_z
_atom_site_occupancy
Sr1 Sr 0.000 0.000 0.000 1
Y1 Y 0.500 0.500 0.401 1
Cu1 Cu 0.000 0.000 0.609 1
Cu2 Cu 0.500 0.500 0.744 1
# Polymorph energy (0 for the lowest one) (meV/atom): 148
# Total magnetic moment (μB per atom): 0.00
# Density (Mg/m³): 5.148
# Formation energy (eV per atom): 0.0329
# Total DFT energy (no corrections) (eV per atom): -4.0517